# Nb2GaNiF | the Alexandria database | GGA+U | optimized geometry
data_Nb2GaNiF
_chemical_formula_sum 'Nb2 Ga1 Ni1 F1'
_symmetry_space_group_name_H-M 'P 1'
_symmetry_Int_Tables_number 1
_symmetry_space_group_name_Hall 'P 1'
_cell_length_a 4.170
_cell_length_b 4.507
_cell_length_c 4.170
_cell_angle_alpha 90.00
_cell_angle_beta 90.00
_cell_angle_gamma 90.00
loop_
_atom_site_label
_atom_site_fract_x
_atom_site_fract_y
_atom_site_fract_z
Nb1 0.000 0.000 0.500
Nb2 0.500 0.000 0.000
Ni1 0.500 0.500 0.500
Ga1 0.000 0.500 0.000
F1 0.000 0.000 0.000
# * volume: 15.68 Å³ per atom
# * raw total energy: -5.133 eV/atom
# * total moment: 0.000 μB/atom
# * SG: P4/mmm